Record 1
CaPmAs2Pd5 | Alexandria | PBE-GGA | relaxed; E_form = -0.757 eV per atom; final energy = -5.426 eV per atom
1.0
4.302 0.000 0.000
0.000 4.302 0.000
0.000 0.000 9.009
Ca Pm As Pd
1 1 2 5
Direct
0.000 0.000 0.000 Ca
0.000 0.000 0.500 Pm
0.500 0.500 0.361 As
0.500 0.500 0.639 As
0.000 0.500 0.226 Pd
0.000 0.500 0.774 Pd
0.500 0.000 0.226 Pd
0.500 0.000 0.774 Pd
0.500 0.500 0.000 Pd

Record 2
CaPrAsPd | Alexandria | PBE-GGA | relaxed; E_form = -0.905 eV per atom; final energy = -5.061 eV per atom
1.0
7.256 0.000 0.000
0.000 7.256 0.000
0.000 0.000 7.256
Ca Pr As Pd
4 4 4 4
Direct
0.000 0.000 0.000 Ca
0.000 0.500 0.500 Ca
0.500 0.000 0.500 Ca
0.500 0.500 0.000 Ca
0.000 0.000 0.500 Pr
0.000 0.500 0.000 Pr
0.500 0.000 0.000 Pr
0.500 0.500 0.500 Pr
0.250 0.250 0.250 As
0.250 0.750 0.750 As
0.750 0.250 0.750 As
0.750 0.750 0.250 As
0.250 0.250 0.750 Pd
0.250 0.750 0.250 Pd
0.750 0.250 0.250 Pd
0.750 0.750 0.750 Pd

Record 3
Ca3As2Pd9Pt | Alexandria | PBE-GGA | relaxed; E_form = -0.355 eV per atom; final energy = -4.894 eV per atom
1.0
7.776 0.000 0.000
-3.888 6.734 0.000
0.000 0.000 6.090
Ca As Pd Pt
3 2 9 1
Direct
0.000 0.000 0.000 Ca
0.333 0.667 0.660 Ca
0.667 0.333 0.340 Ca
0.333 0.667 0.149 As
0.667 0.333 0.851 As
0.000 0.500 0.000 Pd
0.177 0.353 0.336 Pd
0.177 0.823 0.336 Pd
0.353 0.177 0.664 Pd
0.500 0.000 0.000 Pd
0.500 0.500 0.000 Pd
0.647 0.823 0.336 Pd
0.823 0.177 0.664 Pd
0.823 0.647 0.664 Pd
0.000 0.000 0.500 Pt

Record 4
Ca2As3PdPt4 | Alexandria | PBE-GGA | relaxed; E_form = -0.671 eV per atom; final energy = -5.402 eV per atom
1.0
4.359 0.000 0.000
0.000 4.359 0.000
0.000 0.000 10.296
Ca As Pd Pt
2 3 1 4
Direct
0.000 0.500 0.241 Ca
0.500 0.000 0.759 Ca
0.000 0.000 0.000 As
0.000 0.500 0.627 As
0.500 0.000 0.373 As
0.500 0.500 0.000 Pd
0.000 0.000 0.500 Pt
0.000 0.500 0.858 Pt
0.500 0.000 0.142 Pt
0.500 0.500 0.500 Pt